Hf2ScBiI: relaxed, PBE-GGA.

CIF file:
```
data_Hf2ScBiI
_space_group_name_H-M_alt 'P 4/m m m'
_space_group_IT_number 123
_space_group_name_Hall '-P 4 2'
_cell_length_a 5.193
_cell_length_b 5.193
_cell_length_c 5.913
_cell_angle_alpha 90.00
_cell_angle_beta 90.00
_cell_angle_gamma 90.00
loop_
_atom_site_label
_atom_site_type_symbol
_atom_site_fract_x
_atom_site_fract_y
_atom_site_fract_z
Hf1 Hf 0.000 0.500 0.000
Sc1 Sc 0.000 0.000 0.500
Bi1 Bi 0.500 0.500 0.500
I1 I 0.500 0.500 0.000
```

Density: 7.7 g/cm³
Electronic total energy: -5.228 eV per atom
DOS at the Fermi energy: 4.99 states/eV/f.u.
Magnetic moment: 0.00 μB/cell
Energy relative to the elements, uncorrected: 533 kJ/mol of formula units